Material: La3Pm8Er
Method: DFT, PBE
State: optimized geometry

Computed properties:
Formation energy from the elements, eV/atom: 0.53
Theoretical density, Mg/m³: 6.3

```
data_La3Pm8Er
_symmetry_space_group_name_H-M 'I -4 2 m'
_symmetry_Int_Tables_number 121
_symmetry_space_group_name_Hall 'I -4 2'
_cell_length_a 8.9003
_cell_length_b 8.9003
_cell_length_c 11.5342
_cell_angle_alpha 90.00
_cell_angle_beta 90.00
_cell_angle_gamma 90.00
loop_
_atom_site_label
_atom_site_type_symbol
_atom_site_fract_x
_atom_site_fract_y
_atom_site_fract_z
La1 La 0.0000 0.0000 0.0000
La2 La 0.0000 0.5000 0.2500
Pm1 Pm 0.1221 0.1221 0.2518
Pm2 Pm 0.2477 0.2477 0.5063
Er1 Er 0.0000 0.0000 0.5000
```